Record 1
Entry from Alexandria: a relaxed AcPr3Y3 crystal (GGA-PBE).

Geometry as POSCAR:
```
AcPr3Y3
1.0
8.262 0.000 0.000
-1.644 10.929 0.000
-0.852 -0.703 11.027
Ac Pr Y
4 12 12
Direct
0.000 0.000 0.000 Ac
0.038 0.816 0.702 Ac
0.255 0.741 0.997 Ac
0.784 0.073 0.704 Ac
0.292 0.564 0.703 Pr
0.325 0.389 0.422 Pr
0.362 0.211 0.140 Pr
0.396 0.036 0.851 Pr
0.432 0.852 0.562 Pr
0.467 0.672 0.282 Pr
0.503 0.491 0.994 Pr
0.824 0.890 0.416 Pr
0.854 0.707 0.136 Pr
0.891 0.527 0.850 Pr
0.933 0.358 0.562 Pr
0.964 0.177 0.285 Pr
0.073 0.635 0.416 Y
0.106 0.454 0.139 Y
0.148 0.285 0.851 Y
0.186 0.108 0.564 Y
0.219 0.927 0.285 Y
0.535 0.320 0.706 Y
0.570 0.142 0.420 Y
0.606 0.963 0.139 Y
0.643 0.778 0.850 Y
0.680 0.601 0.561 Y
0.718 0.424 0.279 Y
0.749 0.251 0.997 Y
```

Summary:
D(E_F) in states/eV per cell: 40.0
Calculated volume in Å³ per cell: 995.6
E in Ry/atom: -0.3955

---

Record 2
Entry from Alexandria: a relaxed AcPr4Y8 crystal (GGA-PBE).

Geometry as POSCAR:
```
AcPr4Y8
1.0
5.624 3.247 4.585
-5.624 3.247 4.585
0.000 -6.494 4.585
Ac Pr Y
1 4 8
Direct
0.000 0.000 0.000 Ac
0.000 0.000 0.500 Pr
0.000 0.500 0.000 Pr
0.500 0.000 0.000 Pr
0.500 0.500 0.500 Pr
0.262 0.262 0.262 Y
0.262 0.737 0.737 Y
0.263 0.263 0.738 Y
0.263 0.738 0.263 Y
0.737 0.262 0.737 Y
0.737 0.737 0.262 Y
0.738 0.263 0.263 Y
0.738 0.738 0.738 Y
```

Summary:
D(E_F) in states/eV per cell: 21.1
Calculated volume in Å³ per cell: 502.4
E in Ry/atom: -0.3852

---

Record 3
Entry from Alexandria: a relaxed AcPrY4 crystal (GGA-PBE).

Geometry as POSCAR:
```
AcPrY4
1.0
5.780 -2.584 0.000
5.780 2.584 0.000
-2.336 0.000 6.973
Ac Pr Y
1 1 4
Direct
0.000 0.000 0.000 Ac
0.000 0.000 0.500 Pr
0.329 0.329 0.662 Y
0.333 0.333 0.170 Y
0.667 0.667 0.830 Y
0.671 0.671 0.338 Y
```

Summary:
D(E_F) in states/eV per cell: 8.7
Calculated volume in Å³ per cell: 208.3
E in Ry/atom: -0.4230

---

Record 4
Entry from Alexandria: a relaxed AcPr5Y6 crystal (GGA-PBE).

Geometry as POSCAR:
```
AcPr5Y6
1.0
6.006 -5.511 0.000
6.006 5.511 0.000
-1.130 0.000 6.266
Ac Pr Y
1 5 6
Direct
0.000 0.000 0.000 Ac
0.169 0.831 0.500 Pr
0.335 0.665 0.000 Pr
0.500 0.500 0.500 Pr
0.665 0.335 0.000 Pr
0.831 0.169 0.500 Pr
0.084 0.419 0.250 Y
0.251 0.251 0.747 Y
0.419 0.084 0.250 Y
0.581 0.916 0.750 Y
0.749 0.749 0.253 Y
0.916 0.581 0.750 Y
```

Summary:
D(E_F) in states/eV per cell: 16.6
Calculated volume in Å³ per cell: 414.8
E in Ry/atom: -0.4078